Record 1
Entry from Alexandria: a relaxed structure of CaTbY2Hg4 (GGA-PBE).

Cell: 5.2816 5.2816 25.9062 Å, 90.00 90.00 120.00°
Space group R-3m (No. 166, hexagonal axes)
Symmetry-distinct sites (fractional):
Ca: 0.0000 0.0000 0.0000
Tb: 0.0000 0.0000 0.5000
Y: 0.0000 0.0000 0.2516
Hg: 0.0000 0.0000 0.1263
Hg: 0.0000 0.0000 0.3764

Properties
Energy relative to the elements = -0.524 eV per atom
Final energy = -24.956 eV/f.u.
Crystal system = trigonal

---

Record 2
Entry from Alexandria: a relaxed structure of CaTb2YHg4 (GGA-PBE).

Cell: 5.2838 5.2838 25.9211 Å, 90.00 90.00 120.00°
Space group R-3m (No. 166, hexagonal axes)
Symmetry-distinct sites (fractional):
Ca: 0.0000 0.0000 0.0000
Tb: 0.0000 0.0000 0.2515
Y: 0.0000 0.0000 0.5000
Hg: 0.0000 0.0000 0.1262
Hg: 0.0000 0.0000 0.3764

Properties
Energy relative to the elements = -0.522 eV per atom
Final energy = -23.106 eV/f.u.
Crystal system = trigonal

---

Record 3
Entry from Alexandria: a relaxed structure of CaTb2ZnHg4 (GGA-PBE).

Cell: 5.1470 5.1470 25.5581 Å, 90.00 90.00 120.00°
Space group R-3m (No. 166, hexagonal axes)
Symmetry-distinct sites (fractional):
Ca: 0.0000 0.0000 0.0000
Tb: 0.0000 0.0000 0.2434
Zn: 0.0000 0.0000 0.5000
Hg: 0.0000 0.0000 0.1235
Hg: 0.0000 0.0000 0.3735

Properties
Energy relative to the elements = -0.400 eV per atom
Final energy = -16.946 eV/f.u.
Crystal system = trigonal

---

Record 4
Entry from Alexandria: a relaxed structure of Ca4TcHg (GGA-PBE).

Cell: 8.943 8.943 8.943 Å, 90.00 90.00 90.00°
Space group F-43m (No. 216)
Symmetry-distinct sites (fractional):
Ca: 0.124 0.124 0.376
Tc: 0.250 0.250 0.750
Hg: 0.000 0.000 0.000

Properties
Energy relative to the elements = 0.848 eV per atom
Final energy = -13.588 eV/f.u.
Crystal system = cubic